(1)
RbSm2Ag3Se5, relaxed, DFT GGA-PBE; DFT total energy = -97.53 eV per cell; space-group type = No. 63
1.0
8.041 0.000 0.000
-6.847 4.215 0.000
0.000 0.000 17.644
Rb Sm Ag Se
2 4 6 10
Direct
0.436 0.564 0.250 Rb
0.564 0.436 0.750 Rb
0.310 0.690 0.905 Sm
0.310 0.690 0.595 Sm
0.690 0.310 0.405 Sm
0.690 0.310 0.095 Sm
0.086 0.914 0.963 Ag
0.086 0.914 0.537 Ag
0.914 0.086 0.463 Ag
0.161 0.839 0.250 Ag
0.839 0.161 0.750 Ag
0.914 0.086 0.037 Ag
0.679 0.321 0.572 Se
0.936 0.064 0.881 Se
0.321 0.679 0.428 Se
0.321 0.679 0.072 Se
0.679 0.321 0.928 Se
0.757 0.243 0.250 Se
0.243 0.757 0.750 Se
0.936 0.064 0.619 Se
0.064 0.936 0.381 Se
0.064 0.936 0.119 Se

(2)
RbSm3Ag2Se6, relaxed, DFT GGA-PBE; DFT total energy = -57.84 eV per cell; space-group type = No. 12
1.0
4.338 0.000 0.000
0.000 9.166 -0.435
-2.169 -3.519 9.968
Rb Sm Ag Se
1 3 2 6
Direct
0.500 0.000 0.000 Rb
0.500 0.500 0.000 Sm
0.836 0.187 0.671 Sm
0.164 0.813 0.329 Sm
0.778 0.777 0.555 Ag
0.222 0.223 0.445 Ag
0.323 0.943 0.646 Se
0.649 0.588 0.299 Se
0.677 0.057 0.354 Se
0.980 0.271 0.961 Se
0.020 0.729 0.039 Se
0.351 0.412 0.701 Se

Number 1: formation energy (no corrections) -1.1259 eV per atom. Number 2: formation energy (no corrections) -1.3419 eV per atom.